VASP calculation (GGA-PBE) on a relaxed Pr2BeCrPt6 crystal.

Computed properties:
**ΔE_f**: -669 meV/atom
**SG**: R-3m (166)
**DOS(E_F)**: 4.41 states/eV/f.u.
**ρ**: 13.2 g/cm³

a = 7.3377 Å, b = 7.3377 Å, c = 7.3377 Å
α = 46.60°, β = 46.60°, γ = 46.60°
Closest atoms and distances in Å follow each position.
Fractional coordinates of all 10 atoms:
Pr 0.2140 0.2140 0.2140  9 Pt 3.09-3.41
Pr 0.7860 0.7860 0.7860  9 Pt 3.09-3.41
Be 0.0000 0.0000 0.0000  6 Pt 2.17
Cr 0.5000 0.5000 0.5000  6 Pt 2.55
Pt 0.2399 0.2399 0.7153  1 Be 2.17
Pt 0.2399 0.7153 0.2399  1 Be 2.17
Pt 0.2847 0.7601 0.7601  1 Be 2.17
Pt 0.7153 0.2399 0.2399  1 Be 2.17
Pt 0.7601 0.2847 0.7601  1 Be 2.17
Pt 0.7601 0.7601 0.2847  1 Be 2.17